# SCAN Li3Ca, single point on PBEsol structure
data_Li3Ca
_chemical_formula_sum 'Li6 Ca2'
_space_group_name_H-M_alt 'I m m m'
_space_group_IT_number 71
_space_group_name_Hall '-I 2 2'
_cell_length_a 3.852
_cell_length_b 5.245
_cell_length_c 10.194
_cell_angle_alpha 90.00
_cell_angle_beta 90.00
_cell_angle_gamma 90.00
loop_
_atom_site_label
_atom_site_fract_x
_atom_site_fract_y
_atom_site_fract_z
Li1 0.000 0.000 0.000
Li2 0.000 0.500 0.272
Ca1 0.000 0.000 0.500
# - E_form: 44 meV per atom
# - Energy above the most stable polymorph in this dataset: 0.0061 eV/atom
# - N(E_F): 0.5901 states/eV per atom
# - Crystal system: orthorhombic
# - Theoretical density: 0.98 Mg/m³


# SCAN Li24Ca5, single point on PBEsol structure
data_Li24Ca5
_chemical_formula_sum 'Li48 Ca10'
_space_group_name_H-M_alt 'I -4 3 m'
_space_group_IT_number 217
_space_group_name_Hall 'I -4 2 3'
_cell_length_a 11.151
_cell_length_b 11.151
_cell_length_c 11.151
_cell_angle_alpha 90.00
_cell_angle_beta 90.00
_cell_angle_gamma 90.00
loop_
_atom_site_label
_atom_site_fract_x
_atom_site_fract_y
_atom_site_fract_z
Li1 0.029 0.365 0.635
Li2 0.093 0.093 0.716
Ca1 0.000 0.000 0.000
Ca2 0.190 0.190 0.190
# - E_form: 10 meV per atom
# - N(E_F): 0.5300 states/eV per atom
# - Crystal system: cubic
# - Theoretical density: 0.88 Mg/m³


# SCAN LiCa2, single point on PBEsol structure
data_LiCa2
_chemical_formula_sum 'Li2 Ca4'
_space_group_name_H-M_alt 'I 4/m m m'
_space_group_IT_number 139
_space_group_name_Hall '-I 4 2'
_cell_length_a 3.921
_cell_length_b 3.921
_cell_length_c 13.286
_cell_angle_alpha 90.00
_cell_angle_beta 90.00
_cell_angle_gamma 90.00
loop_
_atom_site_label
_atom_site_fract_x
_atom_site_fract_y
_atom_site_fract_z
Li1 0.000 0.000 0.000
Ca1 0.000 0.000 0.351
# - E_form: 2 meV per atom
# - Energy above the most stable polymorph in this dataset: 0.0000 eV/atom
# - N(E_F): 0.8286 states/eV per atom
# - Crystal system: tetragonal
# - Theoretical density: 1.42 Mg/m³


# SCAN Li4Ca3, single point on PBEsol structure
data_Li4Ca3
_chemical_formula_sum 'Li8 Ca6'
_space_group_name_H-M_alt 'I 4/m m m'
_space_group_IT_number 139
_space_group_name_Hall '-I 4 2'
_cell_length_a 3.792
_cell_length_b 3.792
_cell_length_c 28.169
_cell_angle_alpha 90.00
_cell_angle_beta 90.00
_cell_angle_gamma 90.00
loop_
_atom_site_label
_atom_site_fract_x
_atom_site_fract_y
_atom_site_fract_z
Li1 0.000 0.000 0.077
Li2 0.000 0.000 0.376
Ca1 0.000 0.000 0.200
Ca2 0.000 0.000 0.500
# - E_form: 13 meV per atom
# - N(E_F): 0.7324 states/eV per atom
# - Crystal system: tetragonal
# - Theoretical density: 1.21 Mg/m³


# SCAN Li3Ca, single point on PBEsol structure
data_Li3Ca
_chemical_formula_sum 'Li6 Ca2'
_space_group_name_H-M_alt 'I 4/m m m'
_space_group_IT_number 139
_space_group_name_Hall '-I 4 2'
_cell_length_a 4.629
_cell_length_b 4.629
_cell_length_c 9.573
_cell_angle_alpha 90.00
_cell_angle_beta 90.00
_cell_angle_gamma 90.00
loop_
_atom_site_label
_atom_site_fract_x
_atom_site_fract_y
_atom_site_fract_z
Li1 0.000 0.000 0.000
Li2 0.000 0.500 0.250
Ca1 0.000 0.000 0.500
# - E_form: 49 meV per atom
# - Energy above the most stable polymorph in this dataset: 0.0111 eV/atom
# - N(E_F): 0.6437 states/eV per atom
# - Crystal system: tetragonal
# - Theoretical density: 0.99 Mg/m³


# SCAN LiCa2, single point on PBEsol structure
data_LiCa2
_chemical_formula_sum 'Li4 Ca8'
_space_group_name_H-M_alt 'P n m a'
_space_group_IT_number 62
_cell_length_a 7.194
_cell_length_b 5.527
_cell_length_c 10.336
_cell_angle_alpha 90.00
_cell_angle_beta 90.00
_cell_angle_gamma 90.00
loop_
_space_group_symop_operation_xyz
'x,y,z'
'-x,-y,-z'
'-x+1/2,-y,z+1/2'
'x+1/2,y,-z+1/2'
'x+1/2,-y+1/2,-z+1/2'
'-x+1/2,y+1/2,z+1/2'
'-x,y+1/2,-z'
'x,-y+1/2,z'
loop_
_atom_site_label
_atom_site_fract_x
_atom_site_fract_y
_atom_site_fract_z
Li1 0.196 0.250 0.104
Ca1 0.039 0.250 0.791
Ca2 0.165 0.250 0.431
# - E_form: 25 meV per atom
# - Energy above the most stable polymorph in this dataset: 0.0230 eV/atom
# - N(E_F): 0.8376 states/eV per atom
# - Crystal system: orthorhombic
# - Theoretical density: 1.41 Mg/m³